This record from Alexandria describes a relaxed structure of FePCO2. The functional is PBE with a Hubbard U.

The structure in extended XYZ format:
```
5
Lattice="-0.025 -0.640 -3.586 -2.860 -2.218 0.416 -2.372 2.962 -0.512" Properties=species:S:1:pos:R:3 pbc="T T T"
P -1.186 1.481 -0.256
C 0.000 0.000 0.000
Fe -2.628 0.052 -1.841
O -1.430 -1.109 0.208
O -0.013 -0.320 -1.793
```

Calculated values
Calculated total energy: -25.740 eV per cell